Compound: TbPaGePt
Source: Alexandria
Functional: PBE
Structure: optimized geometry

The structure belongs to space group F-43m (No. 216); the cell edges are 7.1094, 7.1094 and 7.1094 Å and the angles 90.00°, 90.00° and 90.00°. The asymmetric unit holds Tb at (0.0000, 0.0000, 0.0000), Pa at (0.0000, 0.0000, 0.5000), Ge at (0.2500, 0.2500, 0.2500) and Pt at (0.2500, 0.2500, 0.7500).

The total energy is -6.80 eV per atom. For the formation energy, the calculation gives -0.605 eV per atom. As for the crystal system: cubic. The value obtained for the theoretical density is 12.2 Mg/m³.